# 1
Density functional theory data (PBE) for crystalline In3HSe at its relaxed geometry.

The structure in CIF format:
```
data_In3HSe
_chemical_formula_sum 'In3 H1 Se1'
_space_group_name_H-M_alt 'P 1'
_space_group_IT_number 1
_cell_length_a 5.893
_cell_length_b 5.893
_cell_length_c 5.893
_cell_angle_alpha 90.00
_cell_angle_beta 90.00
_cell_angle_gamma 90.00
loop_
_space_group_symop_operation_xyz
'x,y,z'
loop_
_atom_site_label
_atom_site_fract_x
_atom_site_fract_y
_atom_site_fract_z
In1 0.000 0.000 0.500
In2 0.000 0.500 0.000
In3 0.500 0.000 0.000
H1 0.500 0.500 0.500
Se1 0.000 0.000 0.000
```

Results
Offset from the most stable computed form (meV per atom): 530
Symmetry: Pm-3m (221)

# 2
Density functional theory data (PBE) for crystalline AcPaTaN4 at its relaxed geometry.

The structure in CIF format:
```
data_AcPaTaN4
_chemical_formula_sum 'Ac2 Pa2 Ta2 N8'
_space_group_name_H-M_alt 'P 1'
_space_group_IT_number 1
_cell_length_a 7.044
_cell_length_b 7.044
_cell_length_c 5.782
_cell_angle_alpha 90.00
_cell_angle_beta 90.00
_cell_angle_gamma 132.14
loop_
_space_group_symop_operation_xyz
'x,y,z'
loop_
_atom_site_label
_atom_site_fract_x
_atom_site_fract_y
_atom_site_fract_z
Ac1 0.105 0.895 0.750
Ac2 0.895 0.105 0.250
Pa1 0.393 0.607 0.750
Pa2 0.607 0.393 0.250
Ta1 0.238 0.762 0.250
Ta2 0.762 0.238 0.750
N1 0.000 0.500 0.000
N2 0.000 0.500 0.500
N3 0.086 0.914 0.250
N4 0.444 0.556 0.250
N5 0.500 0.000 0.000
N6 0.500 0.000 0.500
N7 0.556 0.444 0.750
N8 0.914 0.086 0.750
```

Results
E_tot (eV/atom): -9.635
Symmetry: Cmcm (63)

# 3
Density functional theory data (PBE) for crystalline Ca2AlCo at its relaxed geometry.

The structure in CIF format:
```
data_Ca2AlCo
_chemical_formula_sum 'Ca2 Al1 Co1'
_space_group_name_H-M_alt 'P 1'
_space_group_IT_number 1
_cell_length_a 3.497
_cell_length_b 3.482
_cell_length_c 7.520
_cell_angle_alpha 90.00
_cell_angle_beta 90.09
_cell_angle_gamma 90.00
loop_
_space_group_symop_operation_xyz
'x,y,z'
loop_
_atom_site_label
_atom_site_fract_x
_atom_site_fract_y
_atom_site_fract_z
Ca1 0.001 0.000 0.277
Ca2 0.999 0.000 0.723
Al1 0.500 0.500 0.000
Co1 0.500 0.500 0.500
```

Results
Symmetry: P2/m (10)
DFT formation energy (eV/atom): 0.16

# 4
Density functional theory data (PBE) for crystalline Ba2NdTmSe4 at its relaxed geometry.

The structure in CIF format:
```
data_Ba2NdTmSe4
_chemical_formula_sum 'Ba2 Nd1 Tm1 Se4'
_space_group_name_H-M_alt 'P 1'
_space_group_IT_number 1
_cell_length_a 7.497
_cell_length_b 4.325
_cell_length_c 7.801
_cell_angle_alpha 90.00
_cell_angle_beta 108.64
_cell_angle_gamma 90.00
loop_
_space_group_symop_operation_xyz
'x,y,z'
loop_
_atom_site_label
_atom_site_fract_x
_atom_site_fract_y
_atom_site_fract_z
Ba1 0.000 0.000 0.000
Ba2 0.500 0.500 0.000
Nd1 0.000 0.500 0.500
Tm1 0.500 0.000 0.500
Se1 0.249 0.000 0.717
Se2 0.272 0.500 0.288
Se3 0.728 0.500 0.712
Se4 0.751 0.000 0.283
```

Results
E_tot (eV/atom): -5.250
Symmetry: P2/m (10)

# 5
Density functional theory data (PBE) for crystalline Y2Si4Ir3 at its relaxed geometry.

The structure in CIF format:
```
data_Y2Si4Ir3
_chemical_formula_sum 'Y4 Si8 Ir6'
_space_group_name_H-M_alt 'P 1'
_space_group_IT_number 1
_cell_length_a 7.872
_cell_length_b 7.872
_cell_length_c 7.185
_cell_angle_alpha 90.00
_cell_angle_beta 90.00
_cell_angle_gamma 138.22
loop_
_space_group_symop_operation_xyz
'x,y,z'
loop_
_atom_site_label
_atom_site_fract_x
_atom_site_fract_y
_atom_site_fract_z
Y1 0.106 0.894 0.906
Y2 0.394 0.606 0.406
Y3 0.606 0.394 0.594
Y4 0.894 0.106 0.094
Si1 0.181 0.819 0.524
Si2 0.187 0.313 0.750
Si3 0.313 0.187 0.250
Si4 0.319 0.681 0.024
Si5 0.681 0.319 0.976
Si6 0.687 0.813 0.750
Si7 0.813 0.687 0.250
Si8 0.819 0.181 0.476
Ir1 0.000 0.000 0.500
Ir2 0.022 0.478 0.750
Ir3 0.478 0.022 0.250
Ir4 0.500 0.500 0.000
Ir5 0.522 0.978 0.750
Ir6 0.978 0.522 0.250
```

Results
Offset from the most stable computed form (meV per atom): 0
Symmetry: Cmce (64)

# 6
Density functional theory data (PBE) for crystalline CdRuSeBr2 at its relaxed geometry.

The structure in CIF format:
```
data_CdRuSeBr2
_chemical_formula_sum 'Cd1 Ru1 Se1 Br2'
_space_group_name_H-M_alt 'P 1'
_space_group_IT_number 1
_cell_length_a 5.244
_cell_length_b 5.244
_cell_length_c 4.703
_cell_angle_alpha 90.00
_cell_angle_beta 90.00
_cell_angle_gamma 90.00
loop_
_space_group_symop_operation_xyz
'x,y,z'
loop_
_atom_site_label
_atom_site_fract_x
_atom_site_fract_y
_atom_site_fract_z
Cd1 0.000 0.000 0.000
Ru1 0.500 0.500 0.500
Se1 0.500 0.500 0.000
Br1 0.000 0.500 0.500
Br2 0.500 0.000 0.500
```

Results
Offset from the most stable computed form (meV per atom): 0
Symmetry: P4/mmm (123)

# 7
Density functional theory data (PBE) for crystalline Pm2BiIO8 at its relaxed geometry.

The structure in CIF format:
```
data_Pm2BiIO8
_chemical_formula_sum 'Pm2 Bi1 I1 O8'
_space_group_name_H-M_alt 'P 1'
_space_group_IT_number 1
_cell_length_a 5.157
_cell_length_b 5.157
_cell_length_c 7.079
_cell_angle_alpha 90.00
_cell_angle_beta 90.00
_cell_angle_gamma 90.80
loop_
_space_group_symop_operation_xyz
'x,y,z'
loop_
_atom_site_label
_atom_site_fract_x
_atom_site_fract_y
_atom_site_fract_z
Pm1 0.000 0.000 0.249
Pm2 0.000 0.000 0.751
Bi1 0.500 0.500 0.500
I1 0.500 0.500 0.000
O1 0.189 0.189 0.500
O2 0.238 0.238 0.000
O3 0.322 0.678 0.200
O4 0.322 0.678 0.800
O5 0.678 0.322 0.200
O6 0.678 0.322 0.800
O7 0.762 0.762 0.000
O8 0.811 0.811 0.500
```

Results
E_tot (eV/atom): -6.338
Symmetry: Cmmm (65)

# 8
Density functional theory data (PBE) for crystalline Nd2CoSi4Ni3 at its relaxed geometry.

The structure in CIF format:
```
data_Nd2CoSi4Ni3
_chemical_formula_sum 'Nd2 Co1 Si4 Ni3'
_space_group_name_H-M_alt 'P 1'
_space_group_IT_number 1
_cell_length_a 4.026
_cell_length_b 4.026
_cell_length_c 9.649
_cell_angle_alpha 90.00
_cell_angle_beta 90.00
_cell_angle_gamma 90.00
loop_
_space_group_symop_operation_xyz
'x,y,z'
loop_
_atom_site_label
_atom_site_fract_x
_atom_site_fract_y
_atom_site_fract_z
Nd1 0.000 0.500 0.248
Nd2 0.500 0.000 0.752
Co1 0.000 0.000 0.500
Si1 0.000 0.000 0.000
Si2 0.000 0.500 0.625
Si3 0.500 0.000 0.375
Si4 0.500 0.500 0.000
Ni1 0.000 0.500 0.876
Ni2 0.500 0.000 0.124
Ni3 0.500 0.500 0.500
```

Results
E_tot (eV/atom): -6.347
Symmetry: P-4m2 (115)